# K2TiCrP3O12 PBEsol relaxed
data_K2TiCrP3O12
_chemical_formula_sum 'K8 Ti4 Cr4 P12 O48'
_symmetry_space_group_name_H-M 'P 21 3'
_symmetry_Int_Tables_number 198
_symmetry_space_group_name_Hall 'P 2ac 2ab 3'
_cell_length_a 9.818
_cell_length_b 9.818
_cell_length_c 9.818
_cell_angle_alpha 90.00
_cell_angle_beta 90.00
_cell_angle_gamma 90.00
loop_
_atom_site_label
_atom_site_type_symbol
_atom_site_fract_x
_atom_site_fract_y
_atom_site_fract_z
K1 K 0.045 0.455 0.545
K2 K 0.184 0.184 0.184
Ti1 Ti 0.163 0.837 0.337
Cr1 Cr 0.107 0.607 0.893
P1 P 0.024 0.294 0.875
O1 O 0.014 0.443 0.827
O2 O 0.016 0.954 0.273
O3 O 0.050 0.700 0.723
O4 O 0.103 0.674 0.247
# * magnetization: 12.00 Bohr magnetons per cell
# * ΔE_f (raw): -2.42 eV/atom
# * crystal system: cubic